No. 1
{"formula": "LaGeC2", "functional": "GGA-PBE", "state": "relaxed", "spacegroup": "I-42d, No. 122", "dos_ef_per_ev_cell": 3.2, "dft_energy_ev_per_cell": -51.79, "rho_g_cm3": 6.3, "formation_energy_ev_per_fu": 2.098, "lattice": [[5.995, 0.000, 0.000], [0.000, 5.995, 0.000], [2.998, 2.998, 3.443]], "species": ["Ge", "Ge", "C", "C", "C", "C", "La", "La"], "fractional_positions": [[0.500, 0.500, 0.000], [0.250, 0.750, 0.500], [0.544, 0.125, 0.250], [0.206, 0.625, 0.250], [0.375, 0.456, 0.750], [0.875, 0.794, 0.750], [0.000, 0.000, 0.000], [0.750, 0.250, 0.500]]}

No. 2
{"formula": "LaGeC3", "functional": "GGA-PBE", "state": "relaxed", "spacegroup": "Pm-3m, No. 221", "dos_ef_per_ev_cell": 3.2, "dft_energy_ev_per_cell": -30.26, "relative_energy_mev_per_atom": 0, "rho_g_cm3": 6.2, "formation_energy_ev_per_fu": 6.961, "lattice": [[-0.505, 2.329, 3.283], [-4.006, -0.616, -0.179], [0.396, -3.264, 2.377]], "species": ["Ge", "C", "C", "C", "La"], "fractional_positions": [[0.000, 0.000, 0.000], [0.000, 0.500, 0.000], [0.000, 0.000, 0.500], [0.500, 0.000, 0.000], [0.500, 0.500, 0.500]]}

No. 3
{"formula": "La6Ge2C", "functional": "GGA-PBE", "state": "relaxed", "spacegroup": "P4_2/mnm, No. 136", "dos_ef_per_ev_cell": 21.1, "dft_energy_ev_per_cell": -101.18, "relative_energy_mev_per_atom": 183, "rho_g_cm3": 5.4, "formation_energy_ev_per_fu": -2.564, "lattice": [[-2.774, 6.057, -2.078], [0.372, -2.108, -6.642], [-11.371, -4.894, 0.917]], "species": ["La", "La", "La", "La", "La", "La", "La", "La", "La", "La", "La", "La", "Ge", "Ge", "Ge", "Ge", "C", "C"], "fractional_positions": [[0.306, 0.306, 0.355], [0.694, 0.694, 0.355], [0.194, 0.806, 0.855], [0.806, 0.194, 0.855], [0.194, 0.806, 0.145], [0.806, 0.194, 0.145], [0.306, 0.306, 0.645], [0.694, 0.694, 0.645], [0.272, 0.272, 0.000], [0.728, 0.728, 0.000], [0.228, 0.772, 0.500], [0.772, 0.228, 0.500], [0.000, 0.000, 0.332], [0.500, 0.500, 0.832], [0.500, 0.500, 0.168], [0.000, 0.000, 0.668], [0.000, 0.000, 0.000], [0.500, 0.500, 0.500]]}

No. 4
{"formula": "LaGeC3", "functional": "GGA-PBE", "state": "relaxed", "spacegroup": "Pm-3m, No. 221", "dos_ef_per_ev_cell": 5.4, "dft_energy_ev_per_cell": -23.05, "relative_energy_mev_per_atom": 1441, "rho_g_cm3": 4.4, "formation_energy_ev_per_fu": 14.168, "lattice": [[-4.064, -1.014, -1.742], [-0.952, -2.489, 3.671], [-1.776, 3.655, 2.017]], "species": ["Ge", "C", "C", "C", "La"], "fractional_positions": [[0.500, 0.500, 0.500], [0.000, 0.500, 0.000], [0.000, 0.000, 0.500], [0.500, 0.000, 0.000], [0.000, 0.000, 0.000]]}

No. 5
{"formula": "La4GeC", "functional": "GGA-PBE", "state": "relaxed", "spacegroup": "Pmn2_1, No. 31", "dos_ef_per_ev_cell": 13.2, "dft_energy_ev_per_cell": -69.71, "relative_energy_mev_per_atom": 66, "rho_g_cm3": 5.6, "formation_energy_ev_per_fu": -1.303, "lattice": [[-1.441, -3.919, 3.360], [4.849, -4.197, -2.815], [6.770, 3.296, 6.748]], "species": ["La", "La", "La", "La", "La", "La", "La", "La", "Ge", "Ge", "C", "C"], "fractional_positions": [[0.401, 0.716, 0.000], [0.885, 0.384, 0.000], [0.379, 0.195, 0.802], [0.879, 0.805, 0.698], [0.385, 0.616, 0.500], [0.901, 0.284, 0.500], [0.879, 0.805, 0.302], [0.379, 0.195, 0.198], [0.910, 0.949, 0.000], [0.410, 0.051, 0.500], [0.417, 0.376, 0.000], [0.917, 0.624, 0.500]]}

No. 6
{"formula": "La4GeC", "functional": "GGA-PBE", "state": "relaxed", "spacegroup": "C2/c, No. 15", "dos_ef_per_ev_cell": 10.7, "dft_energy_ev_per_cell": -70.50, "relative_energy_mev_per_atom": 0, "rho_g_cm3": 6.1, "formation_energy_ev_per_fu": -1.700, "lattice": [[-4.172, -4.794, -1.637], [-0.869, -8.254, 4.043], [-5.336, -1.402, 6.532]], "species": ["La", "La", "La", "La", "La", "La", "La", "La", "Ge", "Ge", "C", "C"], "fractional_positions": [[0.848, 0.282, 0.893], [0.083, 0.062, 0.611], [0.652, 0.824, 0.893], [0.417, 0.326, 0.611], [0.583, 0.674, 0.389], [0.348, 0.176, 0.107], [0.917, 0.938, 0.389], [0.152, 0.718, 0.107], [0.750, 0.383, 0.234], [0.250, 0.617, 0.766], [0.250, 0.944, 0.111], [0.750, 0.056, 0.889]]}

No. 7
{"formula": "La5Ge2C", "functional": "GGA-PBE", "state": "relaxed", "spacegroup": "Cmcm, No. 63", "dos_ef_per_ev_cell": 14.7, "dft_energy_ev_per_cell": -90.93, "rho_g_cm3": 5.4, "formation_energy_ev_per_fu": -2.370, "lattice": [[5.957, 0.000, 0.000], [-2.978, 6.434, 0.000], [0.000, 0.000, 13.613]], "species": ["La", "La", "La", "La", "La", "La", "La", "La", "La", "La", "Ge", "Ge", "Ge", "Ge", "C", "C"], "fractional_positions": [[0.944, 0.889, 0.874], [0.944, 0.889, 0.626], [0.334, 0.668, 0.394], [0.334, 0.668, 0.106], [0.697, 0.395, 0.250], [0.303, 0.605, 0.750], [0.666, 0.332, 0.606], [0.666, 0.332, 0.894], [0.056, 0.111, 0.126], [0.056, 0.111, 0.374], [0.823, 0.645, 0.433], [0.823, 0.645, 0.067], [0.177, 0.355, 0.567], [0.177, 0.355, 0.933], [0.800, 0.600, 0.750], [0.200, 0.400, 0.250]]}

No. 8
{"formula": "LaGe2C", "functional": "GGA-PBE", "state": "relaxed", "spacegroup": "I-42d, No. 122", "dos_ef_per_ev_cell": 4.1, "dft_energy_ev_per_cell": -44.79, "rho_g_cm3": 6.3, "formation_energy_ev_per_fu": 0.989, "lattice": [[6.900, 0.000, 0.000], [0.000, 6.900, 0.000], [3.450, 3.450, 3.272]], "species": ["Ge", "Ge", "Ge", "Ge", "C", "C", "La", "La"], "fractional_positions": [[0.514, 0.125, 0.250], [0.236, 0.625, 0.250], [0.375, 0.486, 0.750], [0.875, 0.764, 0.750], [0.500, 0.500, 0.000], [0.250, 0.750, 0.500], [0.000, 0.000, 0.000], [0.750, 0.250, 0.500]]}

No. 9
{"formula": "LiLa2GeC", "functional": "GGA-PBE", "state": "relaxed", "spacegroup": "P4/mmm, No. 123", "dos_ef_per_ev_cell": 5.8, "dft_energy_ev_per_cell": -26.92, "rho_g_cm3": 5.4, "formation_energy_ev_per_fu": -1.313, "lattice": [[-2.842, -2.780, 3.271], [0.527, -4.119, -3.043], [3.545, -1.119, 2.129]], "species": ["Ge", "Li", "C", "La", "La"], "fractional_positions": [[0.500, 0.500, 0.500], [0.000, 0.000, 0.500], [0.000, 0.000, 0.000], [0.000, 0.500, 0.000], [0.500, 0.000, 0.000]]}

No. 10
{"formula": "La2MgGeC", "functional": "GGA-PBE", "state": "relaxed", "spacegroup": "P4/mmm, No. 123", "dos_ef_per_ev_cell": 1.0, "dft_energy_ev_per_cell": -26.99, "rho_g_cm3": 5.4, "formation_energy_ev_per_fu": -1.699, "lattice": [[5.217, 0.000, 0.000], [0.000, 5.217, 0.000], [0.000, 0.000, 4.366]], "species": ["C", "Ge", "Mg", "La", "La"], "fractional_positions": [[0.000, 0.000, 0.000], [0.500, 0.500, 0.500], [0.000, 0.000, 0.500], [0.000, 0.500, 0.000], [0.500, 0.000, 0.000]]}

No. 11
{"formula": "La2Mn2Ge2C", "functional": "GGA-PBE", "state": "relaxed", "spacegroup": "C2/m, No. 12", "dos_ef_per_ev_cell": 6.5, "dft_energy_ev_per_cell": -50.11, "rho_g_cm3": 6.9, "formation_energy_ev_per_fu": -3.459, "lattice": [[-3.089, -2.528, -1.001], [1.576, -5.689, 1.044], [-3.017, -1.673, 5.076]], "species": ["La", "La", "Mn", "Mn", "Ge", "Ge", "C"], "fractional_positions": [[0.557, 0.178, 0.708], [0.443, 0.822, 0.292], [0.189, 0.701, 0.920], [0.811, 0.299, 0.080], [0.179, 0.382, 0.261], [0.821, 0.618, 0.739], [0.000, 0.000, 0.000]]}

No. 12
{"formula": "La2MnGeC", "functional": "GGA-PBE", "state": "relaxed", "spacegroup": "P4/mmm, No. 123", "dos_ef_per_ev_cell": 3.8, "dft_energy_ev_per_cell": -34.33, "rho_g_cm3": 6.3, "formation_energy_ev_per_fu": -1.459, "lattice": [[-5.212, -0.874, -0.797], [0.710, -5.193, 1.048], [-0.681, 0.660, 3.731]], "species": ["Ge", "Mn", "C", "La", "La"], "fractional_positions": [[0.500, 0.500, 0.500], [0.000, 0.000, 0.500], [0.000, 0.000, 0.000], [0.000, 0.500, 0.000], [0.500, 0.000, 0.000]]}